# 1
DFT (PBE-GGA) results for an optimized crystal structure of PaNbBi2.

CIF file:
```
data_PaNbBi2
_symmetry_space_group_name_H-M 'P 4/m m m'
_symmetry_Int_Tables_number 123
_symmetry_space_group_name_Hall '-P 4 2'
_cell_length_a 5.148
_cell_length_b 5.148
_cell_length_c 3.758
_cell_angle_alpha 90.00
_cell_angle_beta 90.00
_cell_angle_gamma 90.00
loop_
_atom_site_label
_atom_site_type_symbol
_atom_site_fract_x
_atom_site_fract_y
_atom_site_fract_z
Pa1 Pa 0.000 0.000 0.000
Nb1 Nb 0.500 0.500 0.000
Bi1 Bi 0.000 0.500 0.500
```

Calculated values
The calculated density comes out at 12.368 g cm⁻³. For the total energy, the calculation gives -6.734 eV/atom. The value obtained for the energy of formation is 0.098 eV per atom. As for the density of states at the Fermi level: 3.7 states/eV/f.u. The energy relative to the lowest polymorph listed for this composition comes out at 74 meV/atom.

***

# 2
DFT (PBE-GGA) results for an optimized crystal structure of PaNb2Bi.

CIF file:
```
data_PaNb2Bi
_symmetry_space_group_name_H-M 'R -3 m'
_symmetry_Int_Tables_number 166
_symmetry_space_group_name_Hall '-R 3 2"'
_cell_length_a 4.9720
_cell_length_b 4.9720
_cell_length_c 17.0821
_cell_angle_alpha 90.00
_cell_angle_beta 90.00
_cell_angle_gamma 120.00
loop_
_atom_site_label
_atom_site_type_symbol
_atom_site_fract_x
_atom_site_fract_y
_atom_site_fract_z
Pa1 Pa 0.0000 0.0000 0.0000
Nb1 Nb 0.0000 0.0000 0.3420
Bi1 Bi 0.0000 0.0000 0.5000
```

Calculated values
The calculated density comes out at 8.525 g cm⁻³. For the total energy, the calculation gives -7.635 eV/atom. The value obtained for the energy of formation is 0.744 eV per atom. As for the density of states at the Fermi level: 5.1 states/eV/f.u. The energy relative to the lowest polymorph listed for this composition comes out at 638 meV/atom.

***

# 3
DFT (PBE-GGA) results for an optimized crystal structure of Pa2NbBi.

CIF file:
```
data_Pa2NbBi
_symmetry_space_group_name_H-M 'P 4/m m m'
_symmetry_Int_Tables_number 123
_symmetry_space_group_name_Hall '-P 4 2'
_cell_length_a 3.925
_cell_length_b 3.925
_cell_length_c 6.486
_cell_angle_alpha 90.00
_cell_angle_beta 90.00
_cell_angle_gamma 90.00
loop_
_atom_site_label
_atom_site_type_symbol
_atom_site_fract_x
_atom_site_fract_y
_atom_site_fract_z
Pa1 Pa 0.000 0.000 0.238
Nb1 Nb 0.500 0.500 0.000
Bi1 Bi 0.500 0.500 0.500
```

Calculated values
The calculated density comes out at 12.698 g cm⁻³. For the total energy, the calculation gives -8.130 eV/atom. The value obtained for the energy of formation is 0.105 eV per atom. As for the density of states at the Fermi level: 5.5 states/eV/f.u. The energy relative to the lowest polymorph listed for this composition comes out at 64 meV/atom.

***

# 4
DFT (PBE-GGA) results for an optimized crystal structure of PaNbBi2.

CIF file:
```
data_PaNbBi2
_symmetry_space_group_name_H-M 'P 4/m m m'
_symmetry_Int_Tables_number 123
_symmetry_space_group_name_Hall '-P 4 2'
_cell_length_a 3.636
_cell_length_b 3.636
_cell_length_c 7.508
_cell_angle_alpha 90.00
_cell_angle_beta 90.00
_cell_angle_gamma 90.00
loop_
_atom_site_label
_atom_site_type_symbol
_atom_site_fract_x
_atom_site_fract_y
_atom_site_fract_z
Pa1 Pa 0.000 0.000 0.000
Nb1 Nb 0.000 0.000 0.500
Bi1 Bi 0.500 0.500 0.276
```

Calculated values
The calculated density comes out at 12.413 g cm⁻³. For the total energy, the calculation gives -6.699 eV/atom. The value obtained for the energy of formation is 0.133 eV per atom. As for the density of states at the Fermi level: 5.7 states/eV/f.u. The energy relative to the lowest polymorph listed for this composition comes out at 110 meV/atom.

***

# 5
DFT (PBE-GGA) results for an optimized crystal structure of PaNbBi.

CIF file:
```
data_PaNbBi
_symmetry_space_group_name_H-M 'I 4/m m m'
_symmetry_Int_Tables_number 139
_symmetry_space_group_name_Hall '-I 4 2'
_cell_length_a 4.572
_cell_length_b 4.572
_cell_length_c 14.784
_cell_angle_alpha 90.00
_cell_angle_beta 90.00
_cell_angle_gamma 90.00
loop_
_atom_site_label
_atom_site_type_symbol
_atom_site_fract_x
_atom_site_fract_y
_atom_site_fract_z
Pa1 Pa 0.000 0.000 0.134
Nb1 Nb 0.000 0.500 0.000
Bi1 Bi 0.000 0.000 0.360
```

Calculated values
The calculated density comes out at 11.452 g cm⁻³. For the total energy, the calculation gives -7.877 eV/atom. The value obtained for the energy of formation is -0.061 eV per atom. As for the density of states at the Fermi level: 3.0 states/eV/f.u. The energy relative to the lowest polymorph listed for this composition comes out at 0 meV/atom.

***

# 6
DFT (PBE-GGA) results for an optimized crystal structure of NbBi2Pb.

CIF file:
```
data_NbBi2Pb
_symmetry_space_group_name_H-M 'R -3 m'
_symmetry_Int_Tables_number 166
_symmetry_space_group_name_Hall '-R 3 2"'
_cell_length_a 3.2869
_cell_length_b 3.2869
_cell_length_c 36.8282
_cell_angle_alpha 90.00
_cell_angle_beta 90.00
_cell_angle_gamma 120.00
loop_
_atom_site_label
_atom_site_type_symbol
_atom_site_fract_x
_atom_site_fract_y
_atom_site_fract_z
Nb1 Nb 0.0000 0.0000 0.0000
Bi1 Bi 0.0000 0.0000 0.0802
Pb1 Pb 0.0000 0.0000 0.5000
```

Calculated values
The calculated density comes out at 10.381 g cm⁻³. For the total energy, the calculation gives -4.799 eV/atom. The value obtained for the energy of formation is 0.586 eV per atom. As for the density of states at the Fermi level: 5.3 states/eV/f.u.

***

# 7
DFT (PBE-GGA) results for an optimized crystal structure of NbBi2Pb.

CIF file:
```
data_NbBi2Pb
_symmetry_space_group_name_H-M 'I -4 2 d'
_symmetry_Int_Tables_number 122
_symmetry_space_group_name_Hall 'I -4 2bw'
_cell_length_a 6.742
_cell_length_b 6.742
_cell_length_c 14.148
_cell_angle_alpha 90.00
_cell_angle_beta 90.00
_cell_angle_gamma 90.00
loop_
_atom_site_label
_atom_site_type_symbol
_atom_site_fract_x
_atom_site_fract_y
_atom_site_fract_z
Nb1 Nb 0.000 0.000 0.000
Bi1 Bi 0.199 0.250 0.125
Pb1 Pb 0.000 0.000 0.500
```

Calculated values
The calculated density comes out at 7.416 g cm⁻³. For the total energy, the calculation gives -4.785 eV/atom. The value obtained for the energy of formation is 0.600 eV per atom. As for the density of states at the Fermi level: 2.0 states/eV/f.u.

***

# 8
DFT (PBE-GGA) results for an optimized crystal structure of Nb3BiPb.

CIF file:
```
data_Nb3BiPb
_symmetry_space_group_name_H-M 'P m -3 m'
_symmetry_Int_Tables_number 221
_symmetry_space_group_name_Hall '-P 4 2 3'
_cell_length_a 5.191
_cell_length_b 5.191
_cell_length_c 5.191
_cell_angle_alpha 90.00
_cell_angle_beta 90.00
_cell_angle_gamma 90.00
loop_
_atom_site_label
_atom_site_type_symbol
_atom_site_fract_x
_atom_site_fract_y
_atom_site_fract_z
Nb1 Nb 0.000 0.000 0.500
Bi1 Bi 0.000 0.000 0.000
Pb1 Pb 0.500 0.500 0.500
```

Calculated values
The calculated density comes out at 8.247 g cm⁻³. For the total energy, the calculation gives -5.867 eV/atom. The value obtained for the energy of formation is 1.692 eV per atom. As for the density of states at the Fermi level: 5.4 states/eV/f.u. The energy relative to the lowest polymorph listed for this composition comes out at 0 meV/atom.

***

# 9
DFT (PBE-GGA) results for an optimized crystal structure of NbBi2Pb.

CIF file:
```
data_NbBi2Pb
_symmetry_space_group_name_H-M 'P 4/m m m'
_symmetry_Int_Tables_number 123
_symmetry_space_group_name_Hall '-P 4 2'
_cell_length_a 3.599
_cell_length_b 3.599
_cell_length_c 8.330
_cell_angle_alpha 90.00
_cell_angle_beta 90.00
_cell_angle_gamma 90.00
loop_
_atom_site_label
_atom_site_type_symbol
_atom_site_fract_x
_atom_site_fract_y
_atom_site_fract_z
Nb1 Nb 0.000 0.000 0.000
Bi1 Bi 0.500 0.500 0.201
Pb1 Pb 0.000 0.000 0.500
```

Calculated values
The calculated density comes out at 11.048 g cm⁻³. For the total energy, the calculation gives -5.226 eV/atom. The value obtained for the energy of formation is 0.159 eV per atom. As for the density of states at the Fermi level: 4.0 states/eV/f.u.

***

# 10
DFT (PBE-GGA) results for an optimized crystal structure of NbBiPb3.

CIF file:
```
data_NbBiPb3
_symmetry_space_group_name_H-M 'P m -3 m'
_symmetry_Int_Tables_number 221
_symmetry_space_group_name_Hall '-P 4 2 3'
_cell_length_a 5.553
_cell_length_b 5.553
_cell_length_c 5.553
_cell_angle_alpha 90.00
_cell_angle_beta 90.00
_cell_angle_gamma 90.00
loop_
_atom_site_label
_atom_site_type_symbol
_atom_site_fract_x
_atom_site_fract_y
_atom_site_fract_z
Nb1 Nb 0.000 0.000 0.000
Bi1 Bi 0.500 0.500 0.500
Pb1 Pb 0.000 0.000 0.500
```

Calculated values
The calculated density comes out at 8.958 g cm⁻³. For the total energy, the calculation gives -4.450 eV/atom. The value obtained for the energy of formation is 0.565 eV per atom. As for the density of states at the Fermi level: 7.1 states/eV/f.u. The energy relative to the lowest polymorph listed for this composition comes out at 0 meV/atom.